No. 1
Ac2In2Au5 | PBE | relaxed

formation energy from the elements = -0.52 eV per atom
raw total energy = -3.86 eV/atom

CIF file:
```
data_Ac2In2Au5
_chemical_formula_sum 'Ac2 In2 Au5'
_symmetry_space_group_name_H-M 'P 4/m m m'
_symmetry_Int_Tables_number 123
_symmetry_space_group_name_Hall '-P 4 2'
_cell_length_a 5.0880
_cell_length_b 5.0880
_cell_length_c 8.8726
_cell_angle_alpha 90.00
_cell_angle_beta 90.00
_cell_angle_gamma 90.00
loop_
_atom_site_label
_atom_site_type_symbol
_atom_site_fract_x
_atom_site_fract_y
_atom_site_fract_z
Ac1 Ac 0.0000 0.0000 0.0000
Ac2 Ac 0.0000 0.0000 0.5000
In1 In 0.5000 0.5000 0.1607
Au1 Au 0.0000 0.5000 0.2716
Au2 Au 0.5000 0.5000 0.5000
```

---

No. 2
Ac12In6Au | PBE | relaxed

formation energy from the elements = -0.24 eV per atom
raw total energy = -3.88 eV/atom

CIF file:
```
data_Ac12In6Au
_chemical_formula_sum 'Ac36 In18 Au3'
_symmetry_space_group_name_H-M 'R -3'
_symmetry_Int_Tables_number 148
_symmetry_space_group_name_Hall '-R 3'
_cell_length_a 13.1785
_cell_length_b 13.1785
_cell_length_c 15.0304
_cell_angle_alpha 90.00
_cell_angle_beta 90.00
_cell_angle_gamma 120.00
loop_
_atom_site_label
_atom_site_type_symbol
_atom_site_fract_x
_atom_site_fract_y
_atom_site_fract_z
Ac1 Ac 0.0320 0.8358 0.3690
Ac2 Ac 0.0412 0.1992 0.8939
In1 In 0.0005 0.4004 0.7633
Au1 Au 0.0000 0.0000 0.5000
```

---

No. 3
Ac3In2Au6 | PBE | relaxed

formation energy from the elements = -0.48 eV per atom
raw total energy = -3.89 eV/atom

CIF file:
```
data_Ac3In2Au6
_chemical_formula_sum 'Ac6 In4 Au12'
_symmetry_space_group_name_H-M 'I 4/m m m'
_symmetry_Int_Tables_number 139
_symmetry_space_group_name_Hall '-I 4 2'
_cell_length_a 4.4079
_cell_length_b 4.4079
_cell_length_c 32.0282
_cell_angle_alpha 90.00
_cell_angle_beta 90.00
_cell_angle_gamma 90.00
loop_
_atom_site_label
_atom_site_type_symbol
_atom_site_fract_x
_atom_site_fract_y
_atom_site_fract_z
Ac1 Ac 0.0000 0.0000 0.0000
Ac2 Ac 0.0000 0.0000 0.1837
In1 In 0.0000 0.0000 0.3739
Au1 Au 0.0000 0.0000 0.2827
Au2 Au 0.0000 0.5000 0.0731
```

---

No. 4
Ac2In3Au2 | PBE | relaxed

formation energy from the elements = -0.51 eV per atom
raw total energy = -3.80 eV/atom
offset from the most stable computed form = 66 meV/atom

CIF file:
```
data_Ac2In3Au2
_chemical_formula_sum 'Ac8 In12 Au8'
_symmetry_space_group_name_H-M 'C m c m'
_symmetry_Int_Tables_number 63
_symmetry_space_group_name_Hall '-C 2c 2'
_cell_length_a 4.7671
_cell_length_b 21.2037
_cell_length_c 7.8413
_cell_angle_alpha 90.00
_cell_angle_beta 90.00
_cell_angle_gamma 90.00
loop_
_atom_site_label
_atom_site_type_symbol
_atom_site_fract_x
_atom_site_fract_y
_atom_site_fract_z
Ac1 Ac 0.0000 0.0596 0.2500
Ac2 Ac 0.0000 0.1640 0.7500
In1 In 0.0000 0.2238 0.2500
In2 In 0.0000 0.4399 0.0718
Au1 Au 0.0000 0.3158 0.5572
```

---

No. 5
Ac6InAu2 | PBE | relaxed

formation energy from the elements = -0.44 eV per atom
raw total energy = -4.21 eV/atom

CIF file:
```
data_Ac6InAu2
_chemical_formula_sum 'Ac24 In4 Au8'
_symmetry_space_group_name_H-M 'I m m m'
_symmetry_Int_Tables_number 71
_symmetry_space_group_name_Hall '-I 2 2'
_cell_length_a 10.3040
_cell_length_b 11.0830
_cell_length_c 11.7037
_cell_angle_alpha 90.00
_cell_angle_beta 90.00
_cell_angle_gamma 90.00
loop_
_atom_site_label
_atom_site_type_symbol
_atom_site_fract_x
_atom_site_fract_y
_atom_site_fract_z
Ac1 Ac 0.0000 0.1908 0.2371
Ac2 Ac 0.1943 0.5000 0.1692
Ac3 Ac 0.2135 0.3209 0.5000
In1 In 0.0000 0.0000 0.0000
In2 In 0.0000 0.0000 0.5000
Au1 Au 0.0000 0.3369 0.0000
Au2 Au 0.0000 0.5000 0.3720
```

---

No. 6
Ac12InAu6 | PBE | relaxed

formation energy from the elements = -0.51 eV per atom
raw total energy = -4.28 eV/atom

CIF file:
```
data_Ac12InAu6
_chemical_formula_sum 'Ac24 In2 Au12'
_symmetry_space_group_name_H-M 'I m -3'
_symmetry_Int_Tables_number 204
_symmetry_space_group_name_Hall '-I 2 2 3'
_cell_length_a 11.1477
_cell_length_b 11.1477
_cell_length_c 11.1477
_cell_angle_alpha 90.00
_cell_angle_beta 90.00
_cell_angle_gamma 90.00
loop_
_atom_site_label
_atom_site_type_symbol
_atom_site_fract_x
_atom_site_fract_y
_atom_site_fract_z
Ac1 Ac 0.0000 0.1797 0.3011
In1 In 0.0000 0.0000 0.0000
Au1 Au 0.0000 0.3689 0.5000
```

---

No. 7
Ac12InAu5 | PBE | relaxed

formation energy from the elements = -0.48 eV per atom
raw total energy = -4.28 eV/atom

CIF file:
```
data_Ac12InAu5
_chemical_formula_sum 'Ac24 In2 Au10'
_symmetry_space_group_name_H-M 'I m m m'
_symmetry_Int_Tables_number 71
_symmetry_space_group_name_Hall '-I 2 2'
_cell_length_a 10.3341
_cell_length_b 10.8979
_cell_length_c 11.6537
_cell_angle_alpha 90.00
_cell_angle_beta 90.00
_cell_angle_gamma 90.00
loop_
_atom_site_label
_atom_site_type_symbol
_atom_site_fract_x
_atom_site_fract_y
_atom_site_fract_z
Ac1 Ac 0.0000 0.1851 0.2323
Ac2 Ac 0.1942 0.5000 0.1703
Ac3 Ac 0.2170 0.3234 0.5000
In1 In 0.0000 0.0000 0.5000
Au1 Au 0.0000 0.0000 0.0000
Au2 Au 0.0000 0.3455 0.0000
Au3 Au 0.0000 0.5000 0.3726
```

---

No. 8
Ac4In2Au | PBE | relaxed

formation energy from the elements = -0.35 eV per atom
raw total energy = -3.95 eV/atom
offset from the most stable computed form = 0 meV/atom

CIF file:
```
data_Ac4In2Au
_chemical_formula_sum 'Ac8 In4 Au2'
_symmetry_space_group_name_H-M 'C 1 2/m 1'
_symmetry_Int_Tables_number 12
_cell_length_a 18.9796
_cell_length_b 4.1587
_cell_length_c 7.0889
_cell_angle_alpha 90.00
_cell_angle_beta 109.89
_cell_angle_gamma 90.00
loop_
_symmetry_equiv_pos_as_xyz
'x,y,z'
'-x,-y,-z'
'-x,y,-z'
'x,-y,z'
'x+1/2,y+1/2,z'
'-x+1/2,-y+1/2,-z'
'-x+1/2,y+1/2,-z'
'x+1/2,-y+1/2,z'
loop_
_atom_site_label
_atom_site_type_symbol
_atom_site_fract_x
_atom_site_fract_y
_atom_site_fract_z
Ac1 Ac 0.0908 0.0000 0.4440
Ac2 Ac 0.1323 0.5000 0.9823
In1 In 0.2418 0.5000 0.6590
Au1 Au 0.0000 0.0000 0.0000
```

---

Copy entry 2 word for word.
Ac12In6Au | PBE | relaxed

formation energy from the elements = -0.24 eV per atom
raw total energy = -3.88 eV/atom

CIF file:
```
data_Ac12In6Au
_chemical_formula_sum 'Ac36 In18 Au3'
_symmetry_space_group_name_H-M 'R -3'
_symmetry_Int_Tables_number 148
_symmetry_space_group_name_Hall '-R 3'
_cell_length_a 13.1785
_cell_length_b 13.1785
_cell_length_c 15.0304
_cell_angle_alpha 90.00
_cell_angle_beta 90.00
_cell_angle_gamma 120.00
loop_
_atom_site_label
_atom_site_type_symbol
_atom_site_fract_x
_atom_site_fract_y
_atom_site_fract_z
Ac1 Ac 0.0320 0.8358 0.3690
Ac2 Ac 0.0412 0.1992 0.8939
In1 In 0.0005 0.4004 0.7633
Au1 Au 0.0000 0.0000 0.5000
```

---

- What is the formula in the eighth record?
  Ac4In2Au

---

Copy entry 1 word for word.
Ac2In2Au5 | PBE | relaxed

formation energy from the elements = -0.52 eV per atom
raw total energy = -3.86 eV/atom

CIF file:
```
data_Ac2In2Au5
_chemical_formula_sum 'Ac2 In2 Au5'
_symmetry_space_group_name_H-M 'P 4/m m m'
_symmetry_Int_Tables_number 123
_symmetry_space_group_name_Hall '-P 4 2'
_cell_length_a 5.0880
_cell_length_b 5.0880
_cell_length_c 8.8726
_cell_angle_alpha 90.00
_cell_angle_beta 90.00
_cell_angle_gamma 90.00
loop_
_atom_site_label
_atom_site_type_symbol
_atom_site_fract_x
_atom_site_fract_y
_atom_site_fract_z
Ac1 Ac 0.0000 0.0000 0.0000
Ac2 Ac 0.0000 0.0000 0.5000
In1 In 0.5000 0.5000 0.1607
Au1 Au 0.0000 0.5000 0.2716
Au2 Au 0.5000 0.5000 0.5000
```